1.
{"formula": "Ac3Cd2In", "functional": "PBE-GGA", "state": "relaxed", "space_group": "Cmmm, No. 65", "energy_ev_per_atom": -3.15, "delta_e_f_kj_per_mol_atoms": -32, "cell": [[5.7798, 0.0000, 0.0000], [0.0000, 17.3603, 0.0000], [0.0000, 0.0000, 4.0830]], "species": ["Ac", "Ac", "Ac", "Ac", "Ac", "Ac", "Cd", "Cd", "Cd", "Cd", "In", "In"], "frac_coords": [[0.0000, 0.0000, 0.0000], [0.0000, 0.3341, 0.0000], [0.0000, 0.6659, 0.0000], [0.5000, 0.1659, 0.0000], [0.5000, 0.5000, 0.0000], [0.5000, 0.8341, 0.0000], [0.0000, 0.1684, 0.5000], [0.0000, 0.8316, 0.5000], [0.5000, 0.3316, 0.5000], [0.5000, 0.6684, 0.5000], [0.0000, 0.5000, 0.5000], [0.5000, 0.0000, 0.5000]]}

2.
{"formula": "GdScHgRu", "functional": "PBE-GGA", "state": "relaxed", "space_group": "F-43m, No. 216", "energy_ev_per_atom": -7.83, "delta_e_f_kj_per_mol_atoms": -32, "cell": [[6.9649, 0.0000, 0.0000], [0.0000, 6.9649, 0.0000], [0.0000, 0.0000, 6.9649]], "species": ["Gd", "Gd", "Gd", "Gd", "Sc", "Sc", "Sc", "Sc", "Hg", "Hg", "Hg", "Hg", "Ru", "Ru", "Ru", "Ru"], "frac_coords": [[0.0000, 0.0000, 0.0000], [0.0000, 0.5000, 0.5000], [0.5000, 0.0000, 0.5000], [0.5000, 0.5000, 0.0000], [0.0000, 0.0000, 0.5000], [0.0000, 0.5000, 0.0000], [0.5000, 0.0000, 0.0000], [0.5000, 0.5000, 0.5000], [0.2500, 0.2500, 0.2500], [0.2500, 0.7500, 0.7500], [0.7500, 0.2500, 0.7500], [0.7500, 0.7500, 0.2500], [0.2500, 0.2500, 0.7500], [0.2500, 0.7500, 0.2500], [0.7500, 0.2500, 0.2500], [0.7500, 0.7500, 0.7500]]}

3.
{"formula": "Tb4Tl2Cd", "functional": "PBE-GGA", "state": "relaxed", "space_group": "P2_1/m, No. 11", "energy_ev_per_atom": -3.59, "delta_e_f_kj_per_mol_atoms": -13, "polymorph_energy_kj_per_mol_atoms": 8.0, "cell": [[7.3070, 0.0000, 0.0000], [0.0000, 6.6876, 0.0000], [-3.2518, 0.0000, 8.5030]], "species": ["Tb", "Tb", "Tb", "Tb", "Tb", "Tb", "Tb", "Tb", "Tl", "Tl", "Tl", "Tl", "Cd", "Cd"], "frac_coords": [[0.0748, 0.2500, 0.0476], [0.1657, 0.0067, 0.7250], [0.1657, 0.4933, 0.7250], [0.3173, 0.7500, 0.3450], [0.6827, 0.2500, 0.6550], [0.8343, 0.5067, 0.2750], [0.8343, 0.9933, 0.2750], [0.9252, 0.7500, 0.9524], [0.2141, 0.2500, 0.4393], [0.4325, 0.7500, 0.0421], [0.5675, 0.2500, 0.9579], [0.7859, 0.7500, 0.5607], [0.4967, 0.2500, 0.2853], [0.5033, 0.7500, 0.7147]]}

4.
{"formula": "PmMgAl2Au4", "functional": "PBE-GGA", "state": "relaxed", "space_group": "R-3m, No. 166", "energy_ev_per_atom": -3.97, "delta_e_f_kj_per_mol_atoms": -58, "cell": [[2.2495, 1.2988, 8.8546], [-2.2495, 1.2988, 8.8546], [0.0000, -2.5976, 8.8546]], "species": ["Pm", "Mg", "Al", "Al", "Au", "Au", "Au", "Au"], "frac_coords": [[0.0000, 0.0000, 0.0000], [0.5000, 0.5000, 0.5000], [0.2413, 0.2413, 0.2413], [0.7587, 0.7587, 0.7587], [0.1312, 0.1312, 0.1312], [0.3961, 0.3961, 0.3961], [0.6039, 0.6039, 0.6039], [0.8688, 0.8688, 0.8688]]}

Q: Number 1 is which compound?
A: Ac3Cd2In